Computed, not measured: a geometry-optimized Mg2Os structure at the GGA-PBE level of DFT.

Computed properties:
DFT total energy in eV per atom: -4.05
Total magnetization in μB per formula unit: 0.70

Cell lengths 5.1809, 5.1809, 5.1809 Å; angles 60.00, 60.00, 60.00 degrees
Closest atoms and distances in Å follow each position.
Fractional positions:
1 Mg 0.1250 0.6250 0.1250  6 Mg 2.59
2 Mg 0.1250 0.1250 0.6250  6 Mg 2.59
3 Mg 0.6250 0.1250 0.1250  6 Mg 2.59
4 Mg 0.1250 0.1250 0.1250  6 Mg 2.59
5 Os 0.7500 0.7500 0.7500  12 Mg 3.04, 4 Os 3.17
6 Os 0.5000 0.5000 0.5000  12 Mg 3.04, 4 Os 3.17